ErNbZnOs | PBE | relaxed

Geometry as CIF:
```
data_ErNbZnOs
_cell_length_a 6.621
_cell_length_b 6.621
_cell_length_c 6.621
_cell_angle_alpha 90.00
_cell_angle_beta 90.00
_cell_angle_gamma 90.00
_symmetry_space_group_name_H-M 'F -4 3 m'
_symmetry_Int_Tables_number 216
_symmetry_space_group_name_Hall 'F -4 2 3'
loop_
_atom_site_label
_atom_site_fract_x
_atom_site_fract_y
_atom_site_fract_z
Er1 0.000 0.000 0.000
Nb1 0.000 0.000 0.500
Zn1 0.250 0.250 0.750
Os1 0.250 0.250 0.250
```

## Properties
The energy relative to the elements is -0.11 eV per atom. The value obtained for the total magnetization is 0.0 μB per formula unit. Its calculated volume is 72.6 Å³/f.u. The final energy is -6.897 eV per atom.